VASP calculation (PBE+U) on MgNiSe2O8 after structural relaxation.

Output
**Total moment**: 0.162 μB/atom
**V**: 12.73 Å³ per atom
**Energy**: -62.700 eV for the cell shown

Lattice parameters (Å, degrees): 5.4349 5.4349 5.9711 90.00 90.00 120.00
With the nearest neighbours (Å) after each atom.
Sites, in units of the cell vectors:
Se 0.3333 0.6667 0.6721  4 O 1.62-1.69
Se 0.6667 0.3333 0.3279  4 O 1.62-1.69
O 0.1628 0.8372 0.7622  1 Se 1.69
O 0.3333 0.6667 0.4010  1 Se 1.62
O 0.1628 0.3255 0.7622  1 Se 1.69
O 0.3255 0.1628 0.2378  1 Se 1.69
O 0.8372 0.6745 0.2378  1 Se 1.69
O 0.6745 0.8372 0.7622  1 Se 1.69
O 0.6667 0.3333 0.5990  1 Se 1.62
O 0.8372 0.1628 0.2378  1 Se 1.69
Ni 0.0000 0.0000 0.5000  6 O 2.19
Mg 0.0000 0.0000 0.0000  6 O 2.09